A relaxed ZrScBi2 crystal. Source: Alexandria via LeMat-Bulk, functional PBE.

Calculated values
**Energy of formation from the pure elements**: 2.9 kcal/mol of atoms
**Offset from the most stable computed form**: 553 meV/atom
**Space group**: I-42d (122)
**Final energy**: -5.533 eV per atom

Cell lengths 6.740, 6.740, 8.181 Å; angles 65.68, 65.68, 90.00 degrees
Fractional positions:
Bi 0.628 0.125 0.250
Bi 0.122 0.625 0.250
Bi 0.875 0.878 0.750
Bi 0.375 0.372 0.750
Sc 0.500 0.500 0.000
Sc 0.250 0.750 0.500
Zr 0.000 0.000 0.000
Zr 0.750 0.250 0.500

---

A relaxed Zr2ScBi crystal. Source: Alexandria via LeMat-Bulk, functional PBE.

Calculated values
**Energy of formation from the pure elements**: -1.2 kcal/mol of atoms
**Space group**: C2/m (12)
**Final energy**: -6.879 eV per atom

Cell lengths 3.292, 6.580, 9.871 Å; angles 70.55, 94.38, 103.27 degrees
Fractional positions:
Zr 0.782 0.579 0.477
Zr 0.782 0.328 0.979
Zr 0.782 0.829 0.978
Zr 0.782 0.079 0.477
Sc 0.281 0.954 0.228
Sc 0.285 0.453 0.228
Bi 0.282 0.204 0.728
Bi 0.282 0.704 0.728

---

A relaxed Zr2ScBi crystal. Source: Alexandria via LeMat-Bulk, functional PBE.

Calculated values
**Energy of formation from the pure elements**: -5.8 kcal/mol of atoms
**Space group**: P4/mmm (123)
**Final energy**: -7.080 eV per atom

Cell lengths 4.921, 4.337, 4.337 Å; angles 90.00, 90.00, 90.00 degrees
Fractional positions:
Zr 0.000 0.000 0.500
Zr 0.000 0.500 0.000
Sc 0.500 0.500 0.500
Bi 0.500 0.000 0.000

---

Repeat the first record exactly.
A relaxed ZrScBi2 crystal. Source: Alexandria via LeMat-Bulk, functional PBE.

Calculated values
**Energy of formation from the pure elements**: 2.9 kcal/mol of atoms
**Offset from the most stable computed form**: 553 meV/atom
**Space group**: I-42d (122)
**Final energy**: -5.533 eV per atom

Cell lengths 6.740, 6.740, 8.181 Å; angles 65.68, 65.68, 90.00 degrees
Fractional positions:
Bi 0.628 0.125 0.250
Bi 0.122 0.625 0.250
Bi 0.875 0.878 0.750
Bi 0.375 0.372 0.750
Sc 0.500 0.500 0.000
Sc 0.250 0.750 0.500
Zr 0.000 0.000 0.000
Zr 0.750 0.250 0.500

---

Question: Number 1 is which compound?
Answer: ZrScBi2

---

Question: The highest energy of formation from the pure elements belongs to which entry?
Answer: ZrScBi2